(1)
LaZr2Os: relaxed, PBE.

```
data_LaZr2Os
_chemical_formula_sum 'La2 Zr4 Os2'
_symmetry_space_group_name_H-M 'C 1 2/m 1'
_symmetry_Int_Tables_number 12
_symmetry_space_group_name_Hall '-C 2y'
_cell_length_a 5.942
_cell_length_b 9.508
_cell_length_c 3.217
_cell_angle_alpha 90.00
_cell_angle_beta 110.07
_cell_angle_gamma 90.00
loop_
_atom_site_label
_atom_site_type_symbol
_atom_site_fract_x
_atom_site_fract_y
_atom_site_fract_z
La1 La 0.000 0.000 0.000
Zr1 Zr 0.250 0.250 0.500
Os1 Os 0.000 0.500 0.000
```

Calculated values
- total energy (eV per cell) = -64.59
- crystal system = monoclinic
- N(E_F) (states/eV/f.u.) = 5.3

=====

(2)
LaZr2Os: relaxed, PBE.

```
data_LaZr2Os
_chemical_formula_sum 'La1 Zr2 Os1'
_symmetry_space_group_name_H-M 'P 4 m m'
_symmetry_Int_Tables_number 99
_symmetry_space_group_name_Hall 'P 4 -2'
_cell_length_a 3.320
_cell_length_b 3.320
_cell_length_c 8.596
_cell_angle_alpha 90.00
_cell_angle_beta 90.00
_cell_angle_gamma 90.00
loop_
_atom_site_label
_atom_site_type_symbol
_atom_site_fract_x
_atom_site_fract_y
_atom_site_fract_z
La1 La 0.000 0.000 0.000
Zr1 Zr 0.000 0.000 0.410
Zr2 Zr 0.500 0.500 0.651
Os1 Os 0.500 0.500 0.235
```

Calculated values
- total energy (eV per cell) = -33.40
- crystal system = tetragonal
- N(E_F) (states/eV/f.u.) = 5.2

=====

(3)
LaZrOs3: relaxed, PBE.

```
data_LaZrOs3
_chemical_formula_sum 'La1 Zr1 Os3'
_symmetry_space_group_name_H-M 'P m -3 m'
_symmetry_Int_Tables_number 221
_symmetry_space_group_name_Hall '-P 4 2 3'
_cell_length_a 4.792
_cell_length_b 4.792
_cell_length_c 4.792
_cell_angle_alpha 90.00
_cell_angle_beta 90.00
_cell_angle_gamma 90.00
loop_
_atom_site_label
_atom_site_type_symbol
_atom_site_fract_x
_atom_site_fract_y
_atom_site_fract_z
La1 La 0.000 0.000 0.000
Zr1 Zr 0.500 0.500 0.500
Os1 Os 0.000 0.000 0.500
```

Calculated values
- total energy (eV per cell) = -36.27
- crystal system = cubic
- N(E_F) (states/eV/f.u.) = 6.1

=====

(4)
LaZrOs2: relaxed, PBE.

```
data_LaZrOs2
_chemical_formula_sum 'La1 Zr1 Os2'
_symmetry_space_group_name_H-M 'P 1 2/m 1'
_symmetry_Int_Tables_number 10
_symmetry_space_group_name_Hall '-P 2y'
_cell_length_a 3.324
_cell_length_b 3.350
_cell_length_c 7.210
_cell_angle_alpha 90.00
_cell_angle_beta 90.29
_cell_angle_gamma 90.00
loop_
_atom_site_label
_atom_site_type_symbol
_atom_site_fract_x
_atom_site_fract_y
_atom_site_fract_z
La1 La 0.000 0.000 0.000
Zr1 Zr 0.000 0.000 0.500
Os1 Os 0.497 0.500 0.283
```

Calculated values
- total energy (eV per cell) = -36.31
- crystal system = monoclinic
- N(E_F) (states/eV/f.u.) = 2.7

=====

(5)
LaZr2Os: relaxed, PBE.

```
data_LaZr2Os
_chemical_formula_sum 'La2 Zr4 Os2'
_symmetry_space_group_name_H-M 'I -4 m 2'
_symmetry_Int_Tables_number 119
_symmetry_space_group_name_Hall 'I -4 -2'
_cell_length_a 4.979
_cell_length_b 4.979
_cell_length_c 7.027
_cell_angle_alpha 90.00
_cell_angle_beta 90.00
_cell_angle_gamma 90.00
loop_
_atom_site_label
_atom_site_type_symbol
_atom_site_fract_x
_atom_site_fract_y
_atom_site_fract_z
La1 La 0.000 0.000 0.000
Zr1 Zr 0.000 0.000 0.500
Zr2 Zr 0.000 0.500 0.250
Os1 Os 0.000 0.500 0.750
```

Calculated values
- total energy (eV per cell) = -65.01
- crystal system = tetragonal
- N(E_F) (states/eV/f.u.) = 7.1

=====

(6)
La2ZrOs: relaxed, PBE.

```
data_La2ZrOs
_chemical_formula_sum 'La6 Zr3 Os3'
_symmetry_space_group_name_H-M 'R 3 m'
_symmetry_Int_Tables_number 160
_symmetry_space_group_name_Hall 'R 3 -2"'
_cell_length_a 4.4422
_cell_length_b 4.4422
_cell_length_c 20.9873
_cell_angle_alpha 90.00
_cell_angle_beta 90.00
_cell_angle_gamma 120.00
loop_
_atom_site_label
_atom_site_type_symbol
_atom_site_fract_x
_atom_site_fract_y
_atom_site_fract_z
La1 La 0.0000 0.0000 0.0000
La2 La 0.0000 0.0000 0.1941
Zr1 Zr 0.0000 0.0000 0.4407
Os1 Os 0.0000 0.0000 0.7411
```

Calculated values
- total energy (eV per cell) = -88.32
- crystal system = trigonal
- N(E_F) (states/eV/f.u.) = 4.2

=====

(7)
LaZrOs2: relaxed, PBE.

```
data_LaZrOs2
_chemical_formula_sum 'La4 Zr4 Os8'
_symmetry_space_group_name_H-M 'F -4 3 m'
_symmetry_Int_Tables_number 216
_symmetry_space_group_name_Hall 'F -4 2 3'
_cell_length_a 6.702
_cell_length_b 6.702
_cell_length_c 6.702
_cell_angle_alpha 90.00
_cell_angle_beta 90.00
_cell_angle_gamma 90.00
loop_
_atom_site_label
_atom_site_type_symbol
_atom_site_fract_x
_atom_site_fract_y
_atom_site_fract_z
La1 La 0.000 0.000 0.000
Zr1 Zr 0.250 0.250 0.250
Os1 Os 0.000 0.000 0.500
Os2 Os 0.250 0.250 0.750
```

Calculated values
- total energy (eV per cell) = -139.62
- crystal system = cubic
- N(E_F) (states/eV/f.u.) = 2.2

=====

(8)
La2ZrOs: relaxed, PBE.

```
data_La2ZrOs
_chemical_formula_sum 'La2 Zr1 Os1'
_symmetry_space_group_name_H-M 'P 4/m m m'
_symmetry_Int_Tables_number 123
_symmetry_space_group_name_Hall '-P 4 2'
_cell_length_a 5.233
_cell_length_b 5.233
_cell_length_c 3.605
_cell_angle_alpha 90.00
_cell_angle_beta 90.00
_cell_angle_gamma 90.00
loop_
_atom_site_label
_atom_site_type_symbol
_atom_site_fract_x
_atom_site_fract_y
_atom_site_fract_z
La1 La 0.000 0.500 0.000
Zr1 Zr 0.000 0.000 0.500
Os1 Os 0.500 0.500 0.500
```

Calculated values
- total energy (eV per cell) = -28.36
- crystal system = tetragonal
- N(E_F) (states/eV/f.u.) = 4.5

=====

(9)
LaZr2Os: relaxed, PBE.

```
data_LaZr2Os
_chemical_formula_sum 'La3 Zr6 Os3'
_symmetry_space_group_name_H-M 'R 3 m'
_symmetry_Int_Tables_number 160
_symmetry_space_group_name_Hall 'R 3 -2"'
_cell_length_a 3.3302
_cell_length_b 3.3302
_cell_length_c 29.1353
_cell_angle_alpha 90.00
_cell_angle_beta 90.00
_cell_angle_gamma 120.00
loop_
_atom_site_label
_atom_site_type_symbol
_atom_site_fract_x
_atom_site_fract_y
_atom_site_fract_z
La1 La 0.0000 0.0000 0.0000
Zr1 Zr 0.0000 0.0000 0.2330
Zr2 Zr 0.0000 0.0000 0.4782
Os1 Os 0.0000 0.0000 0.7459
```

Calculated values
- total energy (eV per cell) = -97.14
- crystal system = trigonal
- N(E_F) (states/eV/f.u.) = 2.9

=====

(10)
LaZr2Os: relaxed, PBE.

```
data_LaZr2Os
_chemical_formula_sum 'La3 Zr6 Os3'
_symmetry_space_group_name_H-M 'R -3 m'
_symmetry_Int_Tables_number 166
_symmetry_space_group_name_Hall '-R 3 2"'
_cell_length_a 4.3811
_cell_length_b 4.3811
_cell_length_c 18.8152
_cell_angle_alpha 90.00
_cell_angle_beta 90.00
_cell_angle_gamma 120.00
loop_
_atom_site_label
_atom_site_type_symbol
_atom_site_fract_x
_atom_site_fract_y
_atom_site_fract_z
La1 La 0.0000 0.0000 0.0000
Zr1 Zr 0.0000 0.0000 0.2163
Os1 Os 0.0000 0.0000 0.5000
```

Calculated values
- total energy (eV per cell) = -99.37
- crystal system = trigonal
- N(E_F) (states/eV/f.u.) = 5.0

=====

(11)
LaZr2Os: relaxed, PBE.

```
data_LaZr2Os
_chemical_formula_sum 'La1 Zr2 Os1'
_symmetry_space_group_name_H-M 'P m m 2'
_symmetry_Int_Tables_number 25
_symmetry_space_group_name_Hall 'P 2 -2'
_cell_length_a 3.317
_cell_length_b 4.387
_cell_length_c 6.438
_cell_angle_alpha 90.00
_cell_angle_beta 90.00
_cell_angle_gamma 90.00
loop_
_atom_site_label
_atom_site_type_symbol
_atom_site_fract_x
_atom_site_fract_y
_atom_site_fract_z
La1 La 0.000 0.000 0.000
Zr1 Zr 0.000 0.000 0.438
Zr2 Zr 0.500 0.500 0.665
Os1 Os 0.500 0.500 0.276
```

Calculated values
- total energy (eV per cell) = -32.91
- crystal system = orthorhombic
- N(E_F) (states/eV/f.u.) = 3.6

=====

(12)
La2ZrOs: relaxed, PBE.

```
data_La2ZrOs
_chemical_formula_sum 'La4 Zr2 Os2'
_symmetry_space_group_name_H-M 'C 1 m 1'
_symmetry_Int_Tables_number 8
_symmetry_space_group_name_Hall 'C -2y'
_cell_length_a 12.276
_cell_length_b 3.609
_cell_length_c 5.392
_cell_angle_alpha 90.00
_cell_angle_beta 116.02
_cell_angle_gamma 90.00
loop_
_atom_site_label
_atom_site_type_symbol
_atom_site_fract_x
_atom_site_fract_y
_atom_site_fract_z
La1 La 0.000 0.000 0.000
La2 La 0.208 0.000 0.708
Zr1 Zr 0.401 0.000 0.401
Os1 Os 0.228 0.500 0.229
```

Calculated values
- total energy (eV per cell) = -59.49
- crystal system = monoclinic
- N(E_F) (states/eV/f.u.) = 3.1